Entry from the Alexandria database: crystalline VCdF4 at its relaxed geometry (PBE with a Hubbard U).

a b c (Å): 3.423 4.597 6.008
angles (deg): 91.82 90.00 90.00
Sites, in units of the cell vectors:
F  0.000  0.217  0.320
Cd  0.500  0.000  0.500
F  0.500  0.205  0.853
F  0.500  0.795  0.147
V  0.000  0.000  0.000
F  0.000  0.783  0.680

Output
Space-group type: No. 10
Raw total energy in eV per atom: -4.989
ρ in Mg/m³: 4.2